A plane-wave DFT calculation with PBE+U was carried out for an optimized crystal structure of NpMn2SnO8.

Computed properties:
- volume (Å³/cell) = 303.4
- total energy (eV per atom) = -7.880
- D(E_F) (states/eV/atom) = 0.414

Structure (CIF):
```
data_NpMn2SnO8
_symmetry_space_group_name_H-M 'C m m m'
_symmetry_Int_Tables_number 65
_symmetry_space_group_name_Hall '-C 2 2'
_cell_length_a 6.6904
_cell_length_b 7.2403
_cell_length_c 6.2643
_cell_angle_alpha 90.00
_cell_angle_beta 90.00
_cell_angle_gamma 90.00
loop_
_atom_site_label
_atom_site_type_symbol
_atom_site_fract_x
_atom_site_fract_y
_atom_site_fract_z
_atom_site_occupancy
Np1 Np 0.0000 0.0000 0.0000 1
Mn1 Mn 0.0000 0.5000 0.2542 1
Sn1 Sn 0.0000 0.0000 0.5000 1
O1 O 0.0000 0.1887 0.2442 1
O2 O 0.1850 0.5000 0.0000 1
O3 O 0.1882 0.5000 0.5000 1
```